*one*
Here is a relaxed Ca3YIn crystal from the Alexandria database. Energies are from PBE.

abc: 6.0581 6.0581 6.0581
angles: 90.00 90.00 90.00
Space group Pm-3m (No. 221)
Symmetry-distinct sites (fractional):
Ca (0.0000, 0.0000, 0.5000)
Y (0.0000, 0.0000, 0.0000)
In (0.5000, 0.5000, 0.5000)

Summary:
Total moment: 2.2 μB per formula unit

---

*two*
Here is a relaxed Ca3YIn crystal from the Alexandria database. Energies are from PBE.

abc: 5.9323 5.9323 5.9323
angles: 90.00 90.00 90.00
Space group Pm-3m (No. 221)
Symmetry-distinct sites (fractional):
Ca (0.0000, 0.0000, 0.5000)
Y (0.5000, 0.5000, 0.5000)
In (0.0000, 0.0000, 0.0000)

Summary:
Total moment: 0.0 μB per formula unit

---

Which structure loses on stability? *one* does.

---

*one*
Here is a relaxed Ca2ZnIn3 crystal from the Alexandria database. Energies are from PBE.

abc: 3.8514 4.9168 17.4192
angles: 90.00 90.00 90.00
Space group Imm2 (No. 44)
Symmetry-distinct sites (fractional):
Ca (0.0000, 0.0000, 0.0000)
Ca (0.0000, 0.5000, 0.2687)
Zn (0.0000, 0.0000, 0.4450)
In (0.0000, 0.0000, 0.5952)
In (0.0000, 0.5000, 0.6790)
In (0.0000, 0.5000, 0.8442)

Summary:
Total moment: 0.0 μB per formula unit

---

*two*
Here is a relaxed Ca2ZnIn3 crystal from the Alexandria database. Energies are from PBE.

abc: 3.7081 4.9229 8.5044
angles: 90.00 90.00 90.00
Space group Pmm2 (No. 25)
Symmetry-distinct sites (fractional):
Ca (0.0000, 0.0000, 0.0000)
Ca (0.0000, 0.5000, 0.4887)
Zn (0.5000, 0.0000, 0.3218)
In (0.5000, 0.0000, 0.6445)
In (0.5000, 0.5000, 0.1724)
In (0.5000, 0.5000, 0.8282)

Summary:
Total moment: 0.0 μB per formula unit

---

Which structure loses on stability? *one* does.

---

*one*
Here is a relaxed CaZrIn crystal from the Alexandria database. Energies are from PBE.

abc: 7.1603 7.1603 7.1603
angles: 90.00 90.00 90.00
Space group F-43m (No. 216)
Symmetry-distinct sites (fractional):
Ca (0.0000, 0.0000, 0.0000)
Zr (0.0000, 0.0000, 0.5000)
In (0.2500, 0.2500, 0.7500)

Summary:
Total moment: 0.4 μB per formula unit

---

*two*
Here is a relaxed CaZrIn crystal from the Alexandria database. Energies are from PBE.

abc: 3.6250 3.6250 26.3641
angles: 90.00 90.00 90.00
Space group I4/mmm (No. 139)
Symmetry-distinct sites (fractional):
Ca (0.0000, 0.0000, 0.0715)
Zr (0.0000, 0.0000, 0.2172)
In (0.0000, 0.0000, 0.3493)

Summary:
Total moment: 0.0 μB per formula unit

---

Which structure loses on stability? *one* does.

---

*one*
Here is a relaxed CaZrIn crystal from the Alexandria database. Energies are from PBE.

abc: 3.3341 3.3341 14.2460
angles: 90.00 90.00 90.00
Space group I4mm (No. 107)
Symmetry-distinct sites (fractional):
Ca (0.0000, 0.0000, 0.0000)
Zr (0.0000, 0.0000, 0.6887)
In (0.0000, 0.0000, 0.3319)

Summary:
Total moment: 0.0 μB per formula unit

---

*two*
Here is a relaxed CaZrIn crystal from the Alexandria database. Energies are from PBE.

abc: 5.1735 5.1735 3.4465
angles: 90.00 90.00 120.00
Space group P3m1 (No. 156)
Symmetry-distinct sites (fractional):
Ca (0.0000, 0.0000, 0.0000)
Zr (0.3333, 0.6667, 0.5530)
In (0.6667, 0.3333, 0.4019)

Summary:
Total moment: 0.0 μB per formula unit

---

*three*
Here is a relaxed CaZrIn crystal from the Alexandria database. Energies are from PBE.

abc: 3.2262 4.3269 11.5899
angles: 90.00 90.00 90.00
Space group Imm2 (No. 44)
Symmetry-distinct sites (fractional):
Ca (0.0000, 0.0000, 0.0000)
Zr (0.0000, 0.0000, 0.7027)
In (0.0000, 0.0000, 0.3285)

Summary:
Total moment: 0.0 μB per formula unit

---

Which structure loses on stability? *two* does.